Below is a crystal of Nb2HgRu2 relaxed with PBEsol, with properties calculated at the SCAN level.

**Formation energy**: 0.09 eV per atom

Unit cell a=4.2560 b=4.2560 c=10.3837 alpha=90.00 beta=90.00 gamma=90.00
Space group I4/mmm (No. 139)
Symmetry-distinct sites (fractional):
Nb: 0.0000 0.5000 0.2500 [4 per cell]
Hg: 0.0000 0.0000 0.0000 [2 per cell]
Ru: 0.0000 0.0000 0.3833 [4 per cell]

=====

Below is a crystal of Nb3HgS relaxed with PBEsol, with properties calculated at the SCAN level.

**Uncorrected formation energy**: 3.12 kcal/mol of atoms

Unit cell a=4.5581 b=4.5581 c=4.5581 alpha=90.00 beta=90.00 gamma=90.00
Space group Pm-3m (No. 221)
Symmetry-distinct sites (fractional):
Nb: 0.0000 0.0000 0.5000 [3 per cell]
Hg: 0.5000 0.5000 0.5000 [1 per cell]
S: 0.0000 0.0000 0.0000 [1 per cell]

=====

Below is a crystal of ScNbHg2 relaxed with PBEsol, with properties calculated at the SCAN level.

**Formation energy**: -0.11 eV per atom

Unit cell a=6.7875 b=6.7875 c=6.7875 alpha=90.00 beta=90.00 gamma=90.00
Space group Fm-3m (No. 225)
Symmetry-distinct sites (fractional):
Sc: 0.0000 0.0000 0.0000 [4 per cell]
Nb: 0.0000 0.0000 0.5000 [4 per cell]
Hg: 0.2500 0.2500 0.2500 [8 per cell]

=====

Below is a crystal of NbHgSe2 relaxed with PBEsol, with properties calculated at the SCAN level.

**Uncorrected formation energy**: -14.25 kcal/mol of atoms

Unit cell a=3.3847 b=3.3847 c=29.1269 alpha=90.00 beta=90.00 gamma=120.00
Space group R-3m (No. 166, hexagonal axes)
Symmetry-distinct sites (fractional):
Nb: 0.0000 0.0000 0.0000 [3 per cell]
Hg: 0.0000 0.0000 0.5000 [3 per cell]
Se: 0.0000 0.0000 0.3916 [6 per cell]